16
Lattice="-3.085 3.085 6.799 3.085 -3.085 6.799 3.085 3.085 -6.799" Properties=species:S:1:pos:R:3 comment="Ti5V2As | Alexandria via LeMat-Bulk | PBE-GGA | relaxed" dft_energy_ha_per_atom=-0.2918 vol_a3_per_atom=16.2 crystal_system=tetragonal m_tot_mub_per_atom=0.00 sg="No. 140" formation_energy_mev_per_atom=-146.3 pbc="T T T"
Ti 0.000 0.000 0.000
Ti 4.057 0.972 -2.117
Ti 0.972 2.112 -2.117
Ti 4.057 0.972 2.117
Ti 0.972 2.112 2.117
Ti 0.000 0.000 6.799
Ti 2.112 0.972 4.682
Ti -0.972 2.112 4.682
Ti 2.112 0.972 8.916
Ti -0.972 2.112 8.916
V 2.200 0.885 0.000
V 2.200 -0.885 6.799
V 0.885 3.969 0.000
V 0.885 2.200 6.799
As 0.000 0.000 3.400
As 0.000 0.000 10.199


5
Lattice="4.941 0.000 0.000 0.000 4.941 0.000 0.000 0.000 4.941" Properties=species:S:1:pos:R:3 comment="HfNiCl3 | Alexandria via LeMat-Bulk | PBE-GGA | relaxed" relative_energy_kj_per_mol_fu=0.0 dft_energy_ha_per_atom=-0.1658 vol_a3_per_atom=24.1 crystal_system=cubic raw_formation_energy_mev_per_atom=-257.9 m_tot_mub_per_atom=0.00 sg="No. 221" pbc="T T T"
Hf 0.000 0.000 0.000
Ni 2.471 2.471 2.471
Cl 0.000 0.000 2.471
Cl 0.000 2.471 0.000
Cl 2.471 0.000 0.000


6
Lattice="4.992 0.000 0.000 -2.496 4.323 0.000 0.000 0.000 4.419" Properties=species:S:1:pos:R:3 comment="IrRh5 | Alexandria via LeMat-Bulk | PBE-GGA | relaxed" relative_energy_kj_per_mol_fu=401.6 dft_energy_ha_per_atom=-0.2540 vol_a3_per_atom=15.9 crystal_system=hexagonal m_tot_mub_per_atom=0.32 sg="No. 191" formation_energy_mev_per_atom=691.1 pbc="T T T"
Ir 0.000 0.000 0.000
Rh -1.248 2.161 2.210
Rh 0.000 2.882 0.000
Rh 2.496 0.000 2.210
Rh 1.248 2.161 2.210
Rh 2.496 1.441 0.000


3
Lattice="0.000 3.988 3.988 3.988 0.000 3.988 3.988 3.988 0.000" Properties=species:S:1:pos:R:3 comment="KLiCd | Alexandria via LeMat-Bulk | PBE-GGA | relaxed" relative_energy_kj_per_mol_fu=104.3 dft_energy_ha_per_atom=-0.0362 vol_a3_per_atom=42.3 crystal_system=cubic m_tot_mub_per_atom=0.00 sg="No. 216" formation_energy_mev_per_atom=324.4 pbc="T T T"
K 0.000 0.000 0.000
Li 1.994 1.994 1.994
Cd 5.982 5.982 5.982


11
Lattice="2.908 1.679 6.017 -2.908 1.679 6.017 0.000 -3.357 6.017" Properties=species:S:1:pos:R:3 comment="Ac2PuRu2N6 | Alexandria via LeMat-Bulk | PBE-GGA | relaxed" dft_energy_ha_per_atom=-0.3227 vol_a3_per_atom=16.0 crystal_system=trigonal raw_formation_energy_mev_per_atom=-503.2 m_tot_mub_per_atom=0.32 sg="No. 166" pbc="T T T"
Ac 0.000 0.000 3.832
Ac 0.000 0.000 14.220
Pu 0.000 0.000 0.000
Ru 0.000 0.000 7.107
Ru 0.000 0.000 10.945
N -1.520 -0.878 10.414
N 0.000 -1.756 7.638
N -1.520 0.878 7.638
N 1.520 -0.878 10.414
N 0.000 1.756 10.414
N 1.520 0.878 7.638


5
Lattice="5.326 0.000 0.000 0.000 5.326 0.000 0.000 0.000 5.326" Properties=species:S:1:pos:R:3 comment="InGaSe3 | Alexandria via LeMat-Bulk | PBE-GGA | relaxed" dft_energy_ha_per_atom=-0.1115 vol_a3_per_atom=30.2 crystal_system=cubic raw_formation_energy_mev_per_atom=209.9 m_tot_mub_per_atom=0.00 sg="No. 221" pbc="T T T"
In 0.000 0.000 0.000
Ga 2.663 2.663 2.663
Se 0.000 0.000 2.663
Se 0.000 2.663 0.000
Se 2.663 0.000 0.000


4
Lattice="-1.484 2.137 4.171 1.484 -2.137 4.171 1.484 2.137 -4.171" Properties=species:S:1:pos:R:3 comment="CoSiTc2 | Alexandria via LeMat-Bulk | PBE-GGA | relaxed" dft_energy_ha_per_atom=-0.3081 vol_a3_per_atom=13.2 crystal_system=orthorhombic raw_formation_energy_mev_per_atom=-68.3 m_tot_mub_per_atom=0.34 sg="No. 71" pbc="T T T"
Co 0.000 0.000 0.000
Si 0.000 0.000 4.171
Tc 1.484 0.000 2.220
Tc 0.000 2.137 1.951


20
Lattice="4.630 -6.430 0.000 4.630 6.430 0.000 0.000 0.000 7.767" Properties=species:S:1:pos:R:3 comment="Li3Hg6Bi | Alexandria via LeMat-Bulk | PBE-GGA | relaxed" dft_energy_ha_per_atom=-0.0492 vol_a3_per_atom=23.1 crystal_system=orthorhombic m_tot_mub_per_atom=0.00 sg="No. 36" formation_energy_mev_per_atom=-194.3 pbc="T T T"
Li 4.630 5.789 3.883
Li 2.742 0.734 4.891
Li 2.742 -0.734 1.008
Li 6.519 0.734 4.891
Li 6.519 -0.734 1.008
Li 4.630 -5.789 0.000
Hg 1.593 1.389 2.408
Hg 2.819 1.992 7.395
Hg 4.630 2.907 4.641
Hg 1.593 -1.389 6.292
Hg 4.630 0.735 2.542
Hg 2.819 -1.992 3.512
Hg 6.441 1.992 7.395
Hg 4.630 -0.735 6.426
Hg 7.668 1.389 2.408
Hg 4.630 -2.907 0.758
Hg 6.441 -1.992 3.512
Hg 7.668 -1.389 6.292
Bi 4.630 4.248 1.253
Bi 4.630 -4.248 5.136


8
Lattice="-3.481 3.481 2.579 3.481 -3.481 2.579 3.481 3.481 -2.579" Properties=species:S:1:pos:R:3 comment="VTc2Mo | Alexandria via LeMat-Bulk | PBE-GGA | relaxed" dft_energy_ha_per_atom=-0.3514 vol_a3_per_atom=15.6 crystal_system=tetragonal m_tot_mub_per_atom=0.00 sg="No. 122" formation_energy_mev_per_atom=607.4 pbc="T T T"
V 0.000 0.000 0.000
V 0.000 3.481 1.290
Tc 5.221 1.682 -0.645
Tc 1.682 1.740 0.645
Tc -1.740 1.799 1.934
Tc 1.799 1.740 3.224
Mo 3.481 0.000 1.290
Mo 0.000 0.000 2.579


4
Lattice="2.836 0.000 0.000 0.000 4.488 0.000 -0.413 0.000 4.668" Properties=species:S:1:pos:R:3 comment="ScCo2Pt | Alexandria via LeMat-Bulk | PBE-GGA | relaxed" dft_energy_ha_per_atom=-0.2503 vol_a3_per_atom=14.9 crystal_system=monoclinic m_tot_mub_per_atom=0.75 sg="No. 10" formation_energy_mev_per_atom=-164.8 pbc="T T T"
Sc 0.000 0.000 0.000
Co 0.641 2.244 3.534
Co 1.782 2.244 1.135
Pt 1.211 0.000 2.334


4
Lattice="5.201 -1.585 0.000 5.201 1.585 0.000 -1.710 0.000 4.904" Properties=species:S:1:pos:R:3 comment="Mg2ScMn | Alexandria via LeMat-Bulk | PBE-GGA | relaxed" relative_energy_kj_per_mol_fu=43.6 dft_energy_ha_per_atom=-0.1661 vol_a3_per_atom=20.2 crystal_system=monoclinic m_tot_mub_per_atom=0.68 sg="No. 8" formation_energy_mev_per_atom=151.5 pbc="T T T"
Mg 0.000 0.000 0.000
Mg 1.112 0.000 3.958
Sc 3.964 0.000 2.277
Mn 7.003 0.000 1.543


7
Lattice="-2.842 2.842 7.192 2.842 -2.842 7.192 2.842 2.842 -7.192" Properties=species:S:1:pos:R:3 comment="Sr2NdCd4 | Alexandria via LeMat-Bulk | PBE-GGA | relaxed" dft_energy_ha_per_atom=-0.0684 vol_a3_per_atom=33.2 crystal_system=tetragonal m_tot_mub_per_atom=0.00 sg="No. 139" formation_energy_mev_per_atom=-175.8 pbc="T T T"
Sr 0.000 0.000 3.380
Sr 0.000 0.000 11.005
Nd 0.000 0.000 7.192
Cd 2.842 0.000 1.560
Cd 2.842 0.000 5.633
Cd 0.000 2.842 1.560
Cd 0.000 2.842 5.633